Entry one
{"formula": "KLiTlHg2", "functional": "PBE", "state": "relaxed", "crystal_system": "orthorhombic", "magmom_total_mub_per_atom": 0.000, "cell": [[6.2522, 0.0000, 0.0000], [0.0000, 7.4140, 0.0000], [0.0000, 0.0000, 6.1601]], "species": ["K", "K", "Li", "Li", "Tl", "Tl", "Hg", "Hg", "Hg", "Hg"], "fractional_positions": [[0.2500, 0.0000, 0.2006], [0.7500, 0.0000, 0.7994], [0.0000, 0.5000, 0.5000], [0.5000, 0.5000, 0.5000], [0.2500, 0.5000, 0.0829], [0.7500, 0.5000, 0.9171], [0.2500, 0.2174, 0.6843], [0.2500, 0.7826, 0.6843], [0.7500, 0.2174, 0.3157], [0.7500, 0.7826, 0.3157]]}

***

Entry two
{"formula": "KLiTlHg2", "functional": "PBE", "state": "relaxed", "crystal_system": "tetragonal", "magmom_total_mub_per_atom": 0.000, "cell": [[5.2885, 0.0000, 0.0000], [0.0000, 5.2885, 0.0000], [0.0000, 0.0000, 5.3180]], "species": ["K", "Li", "Tl", "Hg", "Hg"], "fractional_positions": [[0.0000, 0.0000, 0.0000], [0.5000, 0.5000, 0.5000], [0.5000, 0.5000, 0.0000], [0.0000, 0.5000, 0.5000], [0.5000, 0.0000, 0.5000]]}

***

Energies relative to the most stable structure, in eV/atom: entry one 0.000; entry two 0.049.

***

Entry one
{"formula": "KLuHg2", "functional": "PBE", "state": "relaxed", "crystal_system": "trigonal", "magmom_total_mub_per_atom": 0.000, "cell": [[1.9603, 1.1318, 9.5322], [-1.9603, 1.1318, 9.5322], [0.0000, -2.2636, 9.5322]], "species": ["K", "Lu", "Hg", "Hg"], "fractional_positions": [[0.0000, 0.0000, 0.0000], [0.5000, 0.5000, 0.5000], [0.2370, 0.2370, 0.2370], [0.7630, 0.7630, 0.7630]]}

***

Entry two
{"formula": "KLuHg2", "functional": "PBE", "state": "relaxed", "crystal_system": "tetragonal", "magmom_total_mub_per_atom": 0.000, "cell": [[3.7585, 0.0000, 0.0000], [0.0000, 3.7585, 0.0000], [0.0000, 0.0000, 8.2833]], "species": ["K", "Lu", "Hg", "Hg"], "fractional_positions": [[0.0000, 0.0000, 0.0000], [0.0000, 0.0000, 0.5000], [0.5000, 0.5000, 0.3016], [0.5000, 0.5000, 0.6984]]}

***

Energies relative to the most stable structure, in eV/atom: entry one 0.102; entry two 0.000.